Zr3AsAu at its PBEsol-relaxed geometry, computed with SCAN.

## Properties
The calculation puts the formation energy from the elements at 343 meV per atom.

Unit cell a=5.0758 b=5.0758 c=5.0758 alpha=90.00 beta=90.00 gamma=90.00
Fractional coordinates of all 5 atoms:
Zr 0.0000 0.0000 0.5000
Zr 0.0000 0.5000 0.0000
Zr 0.5000 0.0000 0.0000
As 0.5000 0.5000 0.5000
Au 0.0000 0.0000 0.0000